[1]
VASP calculation (SCAN) on ReHg3N at its PBEsol-relaxed geometry.

abc: 4.4929 4.4929 4.4929
angles: 90.00 90.00 90.00
Space group Pm-3m (No. 221)
Inequivalent atoms, fractional coordinates:
Re 0.0000 0.0000 0.0000 (multiplicity 1)
Hg 0.0000 0.5000 0.5000 (multiplicity 3)
N 0.5000 0.5000 0.5000 (multiplicity 1)

Computed properties:
Uncorrected formation energy ... 1.840 eV per atom
Total energy ... -275.69 eV for the cell shown
Total magnetization ... 0.550 μB per atom

[2]
VASP calculation (SCAN) on AlNiSbTe2 at its PBEsol-relaxed geometry.

abc: 5.1922 5.1922 5.0978
angles: 90.00 90.00 90.00
Space group P4/mmm (No. 123)
Inequivalent atoms, fractional coordinates:
Al 0.0000 0.0000 0.0000 (multiplicity 1)
Ni 0.5000 0.5000 0.5000 (multiplicity 1)
Sb 0.0000 0.0000 0.5000 (multiplicity 1)
Te 0.0000 0.5000 0.0000 (multiplicity 2)

Computed properties:
Uncorrected formation energy ... 0.967 eV per atom
Total energy ... -130.85 eV for the cell shown
Total magnetization ... 0.264 μB per atom

[3]
VASP calculation (SCAN) on SrTaCdAg2 at its PBEsol-relaxed geometry.

abc: 5.0275 5.0275 5.5420
angles: 90.00 90.00 90.00
Space group P4/mmm (No. 123)
Inequivalent atoms, fractional coordinates:
Sr 0.0000 0.0000 0.0000 (multiplicity 1)
Ta 0.5000 0.5000 0.0000 (multiplicity 1)
Cd 0.0000 0.0000 0.5000 (multiplicity 1)
Ag 0.0000 0.5000 0.5000 (multiplicity 2)

Computed properties:
Total energy ... -175.16 eV for the cell shown
Total magnetization ... 0.736 μB per atom

[4]
VASP calculation (SCAN) on Mg2TaNb2O8 at its PBEsol-relaxed geometry.

abc: 5.1831 5.9304 9.8626
angles: 104.07 93.86 91.38
Space group P-1 (No. 2)
Inequivalent atoms, fractional coordinates:
Mg 0.2332 0.0832 0.4482 (multiplicity 2)
Mg 0.2532 0.6392 0.5390 (multiplicity 2)
Ta 0.2468 0.8470 0.0107 (multiplicity 2)
Nb 0.2783 0.4924 0.2302 (multiplicity 2)
Nb 0.2844 0.2538 0.7544 (multiplicity 2)
O 0.0567 0.7027 0.1345 (multiplicity 2)
O 0.0655 0.4201 0.6327 (multiplicity 2)
O 0.0962 0.1721 0.1026 (multiplicity 2)
O 0.1356 0.9558 0.6170 (multiplicity 2)
O 0.3769 0.3447 0.3809 (multiplicity 2)
O 0.3942 0.5892 0.8873 (multiplicity 2)
O 0.4077 0.0464 0.8854 (multiplicity 2)
O 0.4281 0.7961 0.3811 (multiplicity 2)

Computed properties:
Uncorrected formation energy ... -2.786 eV per atom
Total energy ... -457.71 eV for the cell shown
Total magnetization ... 0.000 μB per atom

[5]
VASP calculation (SCAN) on TaBePt4 at its PBEsol-relaxed geometry.

abc: 7.2480 7.2480 7.2480
angles: 90.00 90.00 90.00
Space group F-43m (No. 216)
Inequivalent atoms, fractional coordinates:
Ta 0.0000 0.0000 0.0000 (multiplicity 4)
Be 0.2500 0.2500 0.7500 (multiplicity 4)
Pt 0.1248 0.1248 0.3752 (multiplicity 16)

Computed properties:
Total energy ... -1408.14 eV for the cell shown
Total magnetization ... 0.000 μB per atom

[6]
VASP calculation (SCAN) on SrCu9Sn4 at its PBEsol-relaxed geometry.

abc: 8.5620 8.5620 12.3019
angles: 90.00 90.00 90.00
Space group I4/mcm (No. 140)
Inequivalent atoms, fractional coordinates:
Sr 0.0000 0.0000 0.2500 (multiplicity 4)
Cu 0.0000 0.5000 0.0000 (multiplicity 4)
Cu 0.0546 0.2027 0.0000 (multiplicity 16)
Cu 0.1077 0.3923 0.1740 (multiplicity 16)
Sn 0.1856 0.3144 0.3741 (multiplicity 16)

Computed properties:
Total energy ... -1220.12 eV for the cell shown
Total magnetization ... 0.000 μB per atom

[7]
VASP calculation (SCAN) on Ac2CuRu at its PBEsol-relaxed geometry.

abc: 7.3275 7.3275 7.3275
angles: 90.00 90.00 90.00
Space group Fm-3m (No. 225)
Inequivalent atoms, fractional coordinates:
Ac 0.2500 0.2500 0.2500 (multiplicity 8)
Cu 0.0000 0.0000 0.0000 (multiplicity 4)
Ru 0.0000 0.0000 0.5000 (multiplicity 4)

Computed properties:
Total energy ... -924.57 eV for the cell shown
Total magnetization ... 0.000 μB per atom

[8]
VASP calculation (SCAN) on Al4P3H3O15 at its PBEsol-relaxed geometry.

abc: 18.9836 7.0431 7.2117
angles: 90.00 100.43 90.00
Space group C2/c (No. 15)
Inequivalent atoms, fractional coordinates:
Al 0.0734 0.2291 0.4222 (multiplicity 8)
Al 0.1696 0.4940 0.8316 (multiplicity 8)
P 0.0000 0.3950 0.7500 (multiplicity 4)
P 0.1667 0.1195 0.0870 (multiplicity 8)
H 0.0000 0.0074 0.7500 (multiplicity 4)
H 0.1947 0.2729 0.6056 (multiplicity 8)
O 0.0000 0.1319 0.2500 (multiplicity 4)
O 0.0142 0.2758 0.5881 (multiplicity 8)
O 0.0661 0.4728 0.3108 (multiplicity 8)
O 0.1028 0.0104 0.5318 (multiplicity 8)
O 0.1547 0.2396 0.2633 (multiplicity 8)
O 0.1604 0.3810 0.5794 (multiplicity 8)
O 0.1725 0.2576 0.9286 (multiplicity 8)
O 0.2331 0.0106 0.6386 (multiplicity 8)

Computed properties:
Total energy ... -928.90 eV for the cell shown
Total magnetization ... 0.000 μB per atom

[9]
VASP calculation (SCAN) on FeTePt at its PBEsol-relaxed geometry.

abc: 6.1566 6.1566 6.1566
angles: 90.00 90.00 90.00
Space group F-43m (No. 216)
Inequivalent atoms, fractional coordinates:
Fe 0.0000 0.0000 0.0000 (multiplicity 4)
Te 0.0000 0.0000 0.5000 (multiplicity 4)
Pt 0.2500 0.2500 0.2500 (multiplicity 4)

Computed properties:
Uncorrected formation energy ... -0.097 eV per atom
Total energy ... -503.46 eV for the cell shown
Total magnetization ... 1.225 μB per atom
Excess energy over the best structure of this formula in the dataset ... 0 meV/atom

[10]
VASP calculation (SCAN) on SbTe2WI at its PBEsol-relaxed geometry.

abc: 5.6820 5.6820 5.5844
angles: 90.00 90.00 90.00
Space group P4/mmm (No. 123)
Inequivalent atoms, fractional coordinates:
Sb 0.0000 0.0000 0.0000 (multiplicity 1)
Te 0.0000 0.5000 0.0000 (multiplicity 2)
W 0.5000 0.5000 0.5000 (multiplicity 1)
I 0.0000 0.0000 0.5000 (multiplicity 1)

Computed properties:
Uncorrected formation energy ... 1.620 eV per atom
Total energy ... -210.09 eV for the cell shown
Total magnetization ... 0.809 μB per atom
Excess energy over the best structure of this formula in the dataset ... 1121 meV/atom

[11]
VASP calculation (SCAN) on TaAsPb2 at its PBEsol-relaxed geometry.

abc: 3.7008 5.0728 10.0200
angles: 90.00 90.00 90.00
Space group Cmm2 (No. 35)
Inequivalent atoms, fractional coordinates:
Ta 0.0000 0.0000 0.0000 (multiplicity 2)
As 0.0000 0.5000 0.8237 (multiplicity 2)
Pb 0.0000 0.0000 0.5434 (multiplicity 2)
Pb 0.0000 0.5000 0.2368 (multiplicity 2)

Computed properties:
Total energy ... -475.31 eV for the cell shown
Total magnetization ... 0.000 μB per atom

[12]
VASP calculation (SCAN) on ZrCdIn3 at its PBEsol-relaxed geometry.

abc: 5.2006 5.2006 5.2006
angles: 90.00 90.00 90.00
Space group Pm-3m (No. 221)
Inequivalent atoms, fractional coordinates:
Zr 0.0000 0.0000 0.0000 (multiplicity 1)
Cd 0.5000 0.5000 0.5000 (multiplicity 1)
In 0.0000 0.5000 0.5000 (multiplicity 3)

Computed properties:
Total energy ... -157.24 eV for the cell shown
Total magnetization ... 0.000 μB per atom

[13]
VASP calculation (SCAN) on MnNiCl at its PBEsol-relaxed geometry.

abc: 3.0577 3.0577 5.3700
angles: 90.00 90.00 120.00
Space group P3m1 (No. 156)
Inequivalent atoms, fractional coordinates:
Mn 0.0000 0.0000 0.0000 (multiplicity 1)
Ni 0.3333 0.6667 0.6993 (multiplicity 1)
Cl 0.6667 0.3333 0.3285 (multiplicity 1)

Computed properties:
Uncorrected formation energy ... -0.246 eV per atom
Total energy ... -43.15 eV for the cell shown
Total magnetization ... 1.598 μB per atom
Excess energy over the best structure of this formula in the dataset ... 0 meV/atom

[14]
VASP calculation (SCAN) on La2ScCuPt at its PBEsol-relaxed geometry.

abc: 5.4826 5.4826 4.8279
angles: 90.00 90.00 90.00
Space group P4/mmm (No. 123)
Inequivalent atoms, fractional coordinates:
La 0.0000 0.5000 0.0000 (multiplicity 2)
Sc 0.0000 0.0000 0.5000 (multiplicity 1)
Cu 0.5000 0.5000 0.5000 (multiplicity 1)
Pt 0.5000 0.5000 0.0000 (multiplicity 1)

Computed properties:
Total energy ... -186.40 eV for the cell shown
Total magnetization ... 0.244 μB per atom

[15]
VASP calculation (SCAN) on Nb2HgSbC at its PBEsol-relaxed geometry.

abc: 4.4262 4.4262 4.3892
angles: 90.00 90.00 90.00
Space group P4/mmm (No. 123)
Inequivalent atoms, fractional coordinates:
Nb 0.0000 0.5000 0.0000 (multiplicity 2)
Hg 0.0000 0.0000 0.5000 (multiplicity 1)
Sb 0.5000 0.5000 0.5000 (multiplicity 1)
C 0.0000 0.0000 0.0000 (multiplicity 1)

Computed properties:
Uncorrected formation energy ... 0.477 eV per atom
Total energy ... -179.40 eV for the cell shown
Total magnetization ... 0.000 μB per atom

[16]
VASP calculation (SCAN) on CsHg2 at its PBEsol-relaxed geometry.

abc: 5.5280 8.5491 8.8907
angles: 90.00 90.00 90.00
Space group Imma (No. 74)
Inequivalent atoms, fractional coordinates:
Cs 0.0000 0.2500 0.0600 (multiplicity 4)
Hg 0.0000 0.0712 0.6651 (multiplicity 8)

Computed properties:
Total energy ... -700.72 eV for the cell shown
Total magnetization ... 0.000 μB per atom

[17]
VASP calculation (SCAN) on Ba2PtBr at its PBEsol-relaxed geometry.

abc: 4.0340 4.1856 16.4286
angles: 90.00 90.00 90.00
Space group Imm2 (No. 44)
Inequivalent atoms, fractional coordinates:
Ba 0.0000 0.0000 0.0000 (multiplicity 2)
Ba 0.0000 0.5000 0.2209 (multiplicity 2)
Pt 0.0000 0.0000 0.5817 (multiplicity 2)
Br 0.0000 0.5000 0.8290 (multiplicity 2)

Computed properties:
Uncorrected formation energy ... -1.288 eV per atom
Total energy ... -347.81 eV for the cell shown
Total magnetization ... 0.000 μB per atom
Excess energy over the best structure of this formula in the dataset ... 165 meV/atom

[18]
VASP calculation (SCAN) on MgTlPb2 at its PBEsol-relaxed geometry.

abc: 10.9140 3.4049 6.0698
angles: 90.00 101.35 90.00
Space group C2/m (No. 12)
Inequivalent atoms, fractional coordinates:
Mg 0.0000 0.0000 0.0000 (multiplicity 2)
Tl 0.0000 0.5000 0.5000 (multiplicity 2)
Pb 0.2417 0.5000 0.2371 (multiplicity 4)

Computed properties:
Total energy ... -458.12 eV for the cell shown
Total magnetization ... 0.000 μB per atom

[19]
VASP calculation (SCAN) on FeTcRu2 at its PBEsol-relaxed geometry.

abc: 2.6434 2.6434 25.5566
angles: 90.00 90.00 120.00
Space group R3m (No. 160, hexagonal axes)
Inequivalent atoms, fractional coordinates:
Fe 0.0000 0.0000 0.0000 (multiplicity 3)
Tc 0.0000 0.0000 0.2509 (multiplicity 3)
Ru 0.0000 0.0000 0.4992 (multiplicity 3)
Ru 0.0000 0.0000 0.7456 (multiplicity 3)

Computed properties:
Total energy ... -366.77 eV for the cell shown
Total magnetization ... 0.567 μB per atom
Excess energy over the best structure of this formula in the dataset ... 20 meV/atom

[20]
VASP calculation (SCAN) on MgIn3 at its PBEsol-relaxed geometry.

abc: 5.8280 10.5948 6.2758
angles: 90.00 90.00 90.00
Space group Pnma (No. 62)
Inequivalent atoms, fractional coordinates:
Mg 0.0814 0.2500 0.1133 (multiplicity 4)
In 0.0702 0.2500 0.6118 (multiplicity 4)
In 0.2371 0.5033 0.8600 (multiplicity 8)

Computed properties:
Total energy ... -421.22 eV for the cell shown
Total magnetization ... 0.000 μB per atom